{
  "formula": "FeCuO2",
  "functional": "PBE+U",
  "state": "optimized geometry",
  "dft_energy_ev_per_atom": -5.31,
  "n_ef_per_ev_atom": 0.0010,
  "mass_density_g_cm3": 6.73,
  "lattice": [[0.110, 0.980, 3.621], [-0.792, 3.525, 1.014], [-3.184, 0.754, 1.837]],
  "species": ["O", "O", "Fe", "Cu"],
  "fractional_positions": [[0.250, 0.250, 0.250], [0.750, 0.750, 0.750], [0.000, 0.000, 0.000], [0.500, 0.500, 0.500]]
}